# TlHgF3, optimized geometry, DFT PBE
# * spin magnetization: 0.000 μB per formula unit
# * E_form (uncorrected): -1.417 eV per atom
data_TlHgF3
_chemical_formula_sum 'Tl2 Hg2 F6'
_space_group_name_H-M_alt 'P 63/m m c'
_space_group_IT_number 194
_space_group_name_Hall '-P 6c 2c'
_cell_length_a 4.1352
_cell_length_b 4.1352
_cell_length_c 13.8612
_cell_angle_alpha 90.00
_cell_angle_beta 90.00
_cell_angle_gamma 120.00
loop_
_atom_site_label
_atom_site_fract_x
_atom_site_fract_y
_atom_site_fract_z
Tl1 0.3333 0.6667 0.2500
Hg1 0.0000 0.0000 0.0000
F1 0.0000 0.0000 0.2500
F2 0.3333 0.6667 0.0556